[1]
Compound: Al2HgMo
Source: Alexandria via LeMat-Bulk
Functional: PBE
Structure: optimized geometry

Values from the calculation:
- Formation energy from the elements: 0.146 eV per atom
- Total magnetic moment: 0.000 μB/atom
- DOS at the Fermi energy: 3.6 states/eV per cell
- Uncorrected energy: -36.1 eV/cell

Cell: 9.312 2.884 5.197 Å, 90.00 99.58 90.00°
Space group C2/m (No. 12)
Symmetry-distinct sites (fractional):
Al1 0.239 0.000 0.221
Hg1 0.000 0.000 0.500
Mo1 0.000 0.500 0.000

***

[2]
Compound: Al4HgMo
Source: Alexandria via LeMat-Bulk
Functional: PBE
Structure: optimized geometry

Values from the calculation:
- Formation energy from the elements: 0.163 eV per atom
- Total magnetic moment: 0.000 μB/atom
- DOS at the Fermi energy: 13.9 states/eV per cell
- Uncorrected energy: -100.5 eV/cell

Cell: 7.352 7.352 7.352 Å, 90.00 90.00 90.00°
Space group F-43m (No. 216)
Symmetry-distinct sites (fractional):
Al1 0.125 0.125 0.125
Hg1 0.250 0.250 0.750
Mo1 0.000 0.000 0.500

***

[3]
Compound: AlHg2Mo
Source: Alexandria via LeMat-Bulk
Functional: PBE
Structure: optimized geometry

Values from the calculation:
- Formation energy from the elements: 0.625 eV per atom
- Total magnetic moment: 0.244 μB/atom
- DOS at the Fermi energy: 6.6 states/eV per cell
- Uncorrected energy: -50.7 eV/cell

Cell: 3.980 3.980 20.608 Å, 90.00 90.00 90.00°
Space group I-42d (No. 122)
Symmetry-distinct sites (fractional):
Al1 0.000 0.000 0.000
Hg1 0.246 0.250 0.625
Mo1 0.000 0.000 0.500

***

[4]
Compound: Al2HgMo
Source: Alexandria via LeMat-Bulk
Functional: PBE
Structure: optimized geometry

Values from the calculation:
- Formation energy from the elements: 0.122 eV per atom
- Total magnetic moment: 0.000 μB/atom
- DOS at the Fermi energy: 1.9 states/eV per cell
- Uncorrected energy: -18.1 eV/cell

Cell: 2.869 4.263 5.646 Å, 90.00 90.17 90.00°
Space group P2/m (No. 10)
Symmetry-distinct sites (fractional):
Al1 0.001 0.000 0.221
Hg1 0.000 0.500 0.500
Mo1 0.500 0.500 0.000

***

[5]
Compound: AlHg2Mo
Source: Alexandria via LeMat-Bulk
Functional: PBE
Structure: optimized geometry

Values from the calculation:
- Formation energy from the elements: 0.452 eV per atom
- Total magnetic moment: 0.000 μB/atom
- DOS at the Fermi energy: 2.7 states/eV per cell
- Uncorrected energy: -13.4 eV/cell

Cell: 2.894 5.181 5.094 Å, 90.00 91.00 90.00°
Space group P2/m (No. 10)
Symmetry-distinct sites (fractional):
Al1 0.000 0.000 0.000
Hg1 0.223 0.500 0.255
Mo1 0.500 0.000 0.500

***

[6]
Compound: AlHgMo
Source: Alexandria via LeMat-Bulk
Functional: PBE
Structure: optimized geometry

Values from the calculation:
- Formation energy from the elements: 0.320 eV per atom
- Total magnetic moment: 0.000 μB/atom
- DOS at the Fermi energy: 6.1 states/eV per cell
- Uncorrected energy: -27.8 eV/cell
- Excess energy over the best structure of this formula in the dataset: 40 meV per atom

Cell: 2.858 2.858 12.925 Å, 90.00 90.00 90.00°
Space group I4mm (No. 107)
Symmetry-distinct sites (fractional):
Al1 0.000 0.000 0.000
Hg1 0.000 0.000 0.321
Mo1 0.000 0.000 0.644

***

[7]
Compound: AlHg2Mo
Source: Alexandria via LeMat-Bulk
Functional: PBE
Structure: optimized geometry

Values from the calculation:
- Formation energy from the elements: 0.303 eV per atom
- Total magnetic moment: 0.000 μB/atom
- DOS at the Fermi energy: 8.2 states/eV per cell
- Uncorrected energy: -41.9 eV/cell

Cell: 3.0271 3.0271 28.9139 Å, 90.00 90.00 120.00°
Space group R3m (No. 160, hexagonal axes)
Symmetry-distinct sites (fractional):
Al1 0.0000 0.0000 0.0000
Hg1 0.0000 0.0000 0.5123
Hg2 0.0000 0.0000 0.7503
Mo1 0.0000 0.0000 0.2623

***

[8]
Compound: AlHgMo
Source: Alexandria via LeMat-Bulk
Functional: PBE
Structure: optimized geometry

Values from the calculation:
- Formation energy from the elements: 0.330 eV per atom
- Total magnetic moment: 0.000 μB/atom
- DOS at the Fermi energy: 11.8 states/eV per cell
- Uncorrected energy: -55.5 eV/cell
- Excess energy over the best structure of this formula in the dataset: 50 meV per atom

Cell: 3.514 4.513 13.376 Å, 90.00 90.00 90.00°
Space group Fmm2 (No. 42)
Symmetry-distinct sites (fractional):
Al1 0.000 0.000 0.000
Hg1 0.000 0.000 0.676
Mo1 0.000 0.000 0.354

***

[9]
Compound: Al2HgMo
Source: Alexandria via LeMat-Bulk
Functional: PBE
Structure: optimized geometry

Values from the calculation:
- Formation energy from the elements: 0.224 eV per atom
- Total magnetic moment: 0.000 μB/atom
- DOS at the Fermi energy: 4.9 states/eV per cell
- Uncorrected energy: -35.4 eV/cell

Cell: 3.922 4.076 8.714 Å, 90.00 90.00 90.00°
Space group Cmm2 (No. 35)
Symmetry-distinct sites (fractional):
Al1 0.000 0.000 0.000
Al2 0.000 0.500 0.237
Hg1 0.000 0.500 0.730
Mo1 0.000 0.000 0.461

***

[10]
Compound: AlHg2Mo
Source: Alexandria via LeMat-Bulk
Functional: PBE
Structure: optimized geometry

Values from the calculation:
- Formation energy from the elements: 0.417 eV per atom
- Total magnetic moment: 0.001 μB/atom
- DOS at the Fermi energy: 5.1 states/eV per cell
- Uncorrected energy: -27.0 eV/cell

Cell: 3.953 3.953 9.488 Å, 90.00 90.00 90.00°
Space group I4/mmm (No. 139)
Symmetry-distinct sites (fractional):
Al1 0.000 0.000 0.000
Hg1 0.000 0.500 0.250
Mo1 0.000 0.000 0.500

***

[11]
Compound: AlHgMo
Source: Alexandria via LeMat-Bulk
Functional: PBE
Structure: optimized geometry

Values from the calculation:
- Formation energy from the elements: 0.772 eV per atom
- Total magnetic moment: 0.684 μB/atom
- DOS at the Fermi energy: 6.5 states/eV per cell
- Uncorrected energy: -50.2 eV/cell
- Excess energy over the best structure of this formula in the dataset: 492 meV per atom

Cell: 6.362 6.362 6.362 Å, 90.00 90.00 90.00°
Space group F-43m (No. 216)
Symmetry-distinct sites (fractional):
Al1 0.000 0.000 0.000
Hg1 0.000 0.000 0.500
Mo1 0.250 0.250 0.750

***

[12]
Compound: AlHgMo3
Source: Alexandria via LeMat-Bulk
Functional: PBE
Structure: optimized geometry

Values from the calculation:
- Formation energy from the elements: 1.463 eV per atom
- Total magnetic moment: 0.018 μB/atom
- DOS at the Fermi energy: 7.4 states/eV per cell
- Uncorrected energy: -29.2 eV/cell
- Excess energy over the best structure of this formula in the dataset: 0 meV per atom

Cell: 4.574 4.574 4.574 Å, 90.00 90.00 90.00°
Space group Pm-3m (No. 221)
Symmetry-distinct sites (fractional):
Al1 0.000 0.000 0.000
Hg1 0.500 0.500 0.500
Mo1 0.000 0.000 0.500